Version i
Density functional theory data (PBE) for a relaxed structure of TaHgAs.

Values from the calculation:
Density of states at the Fermi level: 0.501 states/eV per atom

Unit cell a=10.9324 b=3.3556 c=3.3556 alpha=90.00 beta=107.69 gamma=90.00
Space group Cm (No. 8)
Unique sites:
Ta 0.0000 0.0000 0.0000 (multiplicity 2)
Hg 0.1937 0.5000 0.6940 (multiplicity 2)
As 0.3920 0.0000 0.3935 (multiplicity 2)

---

Version ii
Density functional theory data (PBE) for a relaxed structure of TaHgAs.

Values from the calculation:
Density of states at the Fermi level: 0.572 states/eV per atom

Unit cell a=2.9586 b=2.9586 c=14.7757 alpha=90.00 beta=90.00 gamma=90.00
Space group I4mm (No. 107)
Unique sites:
Ta 0.0000 0.0000 0.0000 (multiplicity 2)
Hg 0.0000 0.0000 0.3522 (multiplicity 2)
As 0.0000 0.0000 0.6287 (multiplicity 2)

---

Version iii
Density functional theory data (PBE) for a relaxed structure of TaHgAs.

Values from the calculation:
Density of states at the Fermi level: 1.206 states/eV per atom

Unit cell a=6.4764 b=6.4764 c=6.4764 alpha=90.00 beta=90.00 gamma=90.00
Space group F-43m (No. 216)
Unique sites:
Ta 0.0000 0.0000 0.0000 (multiplicity 4)
Hg 0.2500 0.2500 0.2500 (multiplicity 4)
As 0.2500 0.2500 0.7500 (multiplicity 4)

---

Version iv
Density functional theory data (PBE) for a relaxed structure of TaHgAs.

Values from the calculation:
Density of states at the Fermi level: 0.382 states/eV per atom

Unit cell a=3.6122 b=4.6889 c=15.2277 alpha=90.00 beta=90.00 gamma=90.00
Space group Fmm2 (No. 42)
Unique sites:
Ta 0.0000 0.0000 0.0000 (multiplicity 4)
Hg 0.0000 0.0000 0.6528 (multiplicity 4)
As 0.0000 0.0000 0.3731 (multiplicity 4)

---

version i is preferred energetically. Next in line: 77 meV/atom higher.